[1]
## ScCdAg2 (PBEsol)

Data for an optimized crystal structure of ScCdAg2.

Values from the calculation:
Fermi-level density of states in states/eV per cell: 2.510
ΔE_f in eV/atom: -0.1888
Space-group type: No. 99

a b c (Å): 3.4197 3.4197 6.3664
angles (deg): 90.00 90.00 90.00
Closest atoms and distances in Å follow each position.
Positions (direct):
Cd: 0.0000 0.0000 0.4821  5 Ag 2.85-3.03, 4 Sc 3.02
Sc: 0.5000 0.5000 0.7668  5 Ag 2.86-3.04, 4 Cd 3.02
Ag: 0.0000 0.0000 0.0061  4 Ag 2.86, 4 Sc 2.86, 1 Cd 3.03
Ag: 0.5000 0.5000 0.2450  4 Cd 2.85, 4 Ag 2.86, 1 Sc 3.04

***

[2]
## Ti6O11 (PBEsol)

Data for an optimized crystal structure of Ti6O11.

Values from the calculation:
Fermi-level density of states in states/eV per cell: 10.008
ΔE_f (raw) in eV/atom: -3.026
Space-group type: No. 12

a b c (Å): 3.7384 5.2575 20.8524
angles (deg): 92.51 90.00 110.83
Closest atoms and distances in Å follow each position.
Positions (direct):
O: 0.8372 0.6744 0.6202  3 Ti 1.92-2.01
O: 0.1330 0.2659 0.0276  3 Ti 1.86-1.98
O: 0.9503 0.9006 0.4433  3 Ti 1.90-1.96
O: 0.1628 0.3256 0.3798  3 Ti 1.92-2.01
O: 0.2299 0.4598 0.8784  3 Ti 1.95-2.14
O: 0.7701 0.5402 0.1216  3 Ti 1.95-2.14
O: 0.2071 0.4141 0.7098  4 Ti 1.94-2.17
O: 0.6769 0.3537 0.4800  3 Ti 1.91-2.00
O: 0.8670 0.7341 0.9724  3 Ti 1.86-1.98
O: 0.0590 0.1180 0.2673  3 Ti 1.88-2.02
O: 0.3231 0.6463 0.5200  3 Ti 1.91-2.00
O: 0.7929 0.5859 0.2902  4 Ti 1.94-2.17
O: 0.6590 0.3179 0.7933  3 Ti 1.98-2.17
O: 0.4090 0.8181 0.0701  3 Ti 1.92-2.05
O: 0.0497 0.0994 0.5567  3 Ti 1.90-1.96
O: 0.9498 0.8995 0.8520  3 Ti 1.86-2.03
O: 0.3410 0.6821 0.2067  3 Ti 1.98-2.17
O: 0.4273 0.8546 0.3450  3 Ti 1.93-2.03
O: 0.9410 0.8820 0.7327  3 Ti 1.88-2.02
O: 0.0502 0.1005 0.1480  3 Ti 1.86-2.03
O: 0.5910 0.1819 0.9299  3 Ti 1.92-2.05
O: 0.5727 0.1454 0.6550  3 Ti 1.93-2.03
Ti: 0.9728 0.9456 0.3532  5 O 1.90-2.02
Ti: 0.2209 0.4418 0.1083  5 O 1.86-2.05
Ti: 0.7576 0.5152 0.7025  5 O 1.88-2.03
Ti: 0.9082 0.8164 0.2038  4 O 1.86-1.98
Ti: 0.2424 0.4848 0.2975  5 O 1.88-2.03
Ti: 0.0519 0.1039 0.9391  5 O 1.92-2.03
Ti: 0.0272 0.0544 0.6468  5 O 1.90-2.02
Ti: 0.9481 0.8961 0.0609  5 O 1.92-2.03
Ti: 0.0918 0.1836 0.7962  4 O 1.86-1.98
Ti: 0.1393 0.2787 0.4749  6 O 1.91-2.01
Ti: 0.7791 0.5582 0.8917  5 O 1.86-2.05
Ti: 0.8607 0.7213 0.5251  6 O 1.91-2.01

***

[3]
## Al3GaRu (PBEsol)

Data for an optimized crystal structure of Al3GaRu.

Values from the calculation:
Fermi-level density of states in states/eV per cell: 1.704
ΔE_f in eV/atom: 0.0671
Space-group type: No. 221

a b c (Å): 4.6890 4.6890 4.6890
angles (deg): 90.00 90.00 90.00
Closest atoms and distances in Å follow each position.
Positions (direct):
Al: 0.5000 0.0000 0.0000  2 Ru 2.34
Al: 0.0000 0.0000 0.5000  2 Ru 2.34
Al: 0.0000 0.5000 0.0000  2 Ru 2.34
Ga: 0.5000 0.5000 0.5000  12 Al 3.32
Ru: 0.0000 0.0000 0.0000  6 Al 2.34